# 1
Compound: LiSb4Os
Source: the Alexandria database
Functional: PBE
Structure: optimized geometry

## Properties
- space-group type = F-43m, No. 216
- raw total energy (eV/atom) = -3.97
- crystal system = cubic

a = 6.0772 Å, b = 6.0772 Å, c = 6.0772 Å
α = 60.00°, β = 60.00°, γ = 60.00°
Last column: magnetic moment on the atom in μB.
Fractional positions:
Li (0.7500, 0.7500, 0.7500)  -0.01
Sb (0.8758, 0.3747, 0.3747)  0.02
Sb (0.3747, 0.3747, 0.8758)  0.02
Sb (0.3747, 0.8758, 0.3747)  0.02
Sb (0.3747, 0.3747, 0.3747)  0.02
Os (0.0000, 0.0000, 0.0000)  2.10

=====

# 2
Compound: LiSbOs2
Source: the Alexandria database
Functional: PBE
Structure: optimized geometry

## Properties
- space-group type = I-42d, No. 122
- raw total energy (eV/atom) = -6.22
- crystal system = tetragonal

a = 7.4684 Å, b = 7.4684 Å, c = 5.8551 Å
α = 50.37°, β = 50.37°, γ = 90.00°
Fractional positions:
Sb (0.0000, 0.0000, 0.0000)
Sb (0.7500, 0.2500, 0.5000)
Os (0.6431, 0.1250, 0.2500)
Os (0.1069, 0.6250, 0.2500)
Os (0.3750, 0.3569, 0.7500)
Os (0.8750, 0.8931, 0.7500)
Li (0.5000, 0.5000, 0.0000)
Li (0.2500, 0.7500, 0.5000)

=====

# 3
Compound: Li2SbOs
Source: the Alexandria database
Functional: PBE
Structure: optimized geometry

## Properties
- space-group type = P2/m, No. 10
- raw total energy (eV/atom) = -4.63
- crystal system = monoclinic

a = 4.5456 Å, b = 2.9814 Å, c = 5.0118 Å
α = 75.79°, β = 90.00°, γ = 90.00°
Fractional positions:
Li (0.0000, 0.0075, 0.0284)
Li (0.0000, 0.4925, 0.4716)
Os (0.5000, 0.2500, 0.2500)
Sb (0.5000, 0.7500, 0.7500)

=====

# 4
Compound: LiSbOs2
Source: the Alexandria database
Functional: PBE
Structure: optimized geometry

## Properties
- space-group type = C2/m, No. 12
- raw total energy (eV/atom) = -6.75
- crystal system = monoclinic

a = 4.5555 Å, b = 4.5555 Å, c = 4.9915 Å
α = 80.98°, β = 80.98°, γ = 37.57°
Fractional positions:
Li (0.2500, 0.2500, 0.2500)
Os (0.0024, 0.0024, 0.0334)
Os (0.4976, 0.4976, 0.4666)
Sb (0.7500, 0.7500, 0.7500)

=====

Energy relative to the elements, uncorrected (eV/atom)
0.968 0.901 0.160 0.374